Entry 1:
Below is a geometry-optimized Sr3Pm structure, with properties calculated at the GGA-PBE level.

Unit cell a=3.787 b=3.933 c=12.946 alpha=90.00 beta=90.00 gamma=90.00
Space group Pmm2 (No. 25)
Inequivalent atoms, fractional coordinates:
Sr (0.000, 0.000, 0.000) (multiplicity 1)
Sr (0.000, 0.500, 0.278) (multiplicity 1)
Sr (0.500, 0.500, 0.747) (multiplicity 1)
Pm (0.500, 0.000, 0.497) (multiplicity 1)

Energy of formation ... 0.25 eV/atom
ΔE to the lowest computed polymorph ... 0.094 eV per atom
Total DFT energy (no corrections) ... -2.20 eV/atom


Entry 2:
Below is a geometry-optimized SmGa4Cu2Rh structure, with properties calculated at the GGA-PBE level.

Unit cell a=4.1868 b=4.1868 c=26.8459 alpha=90.00 beta=90.00 gamma=120.00
Space group R-3m (No. 166, hexagonal axes)
Inequivalent atoms, fractional coordinates:
Sm (0.0000, 0.0000, 0.0000) (multiplicity 3)
Ga (0.0000, 0.0000, 0.1290) (multiplicity 6)
Ga (0.0000, 0.0000, 0.4020) (multiplicity 6)
Cu (0.0000, 0.0000, 0.2375) (multiplicity 6)
Rh (0.0000, 0.0000, 0.5000) (multiplicity 3)

Energy of formation ... -0.41 eV/atom
Total DFT energy (no corrections) ... -4.45 eV/atom


Entry 3:
Below is a geometry-optimized CsRbAu3 structure, with properties calculated at the GGA-PBE level.

Unit cell a=7.1228 b=7.1228 c=22.9891 alpha=90.00 beta=90.00 gamma=120.00
Space group R-3m (No. 166, hexagonal axes)
Inequivalent atoms, fractional coordinates:
Cs (0.0000, 0.0000, 0.1356) (multiplicity 6)
Rb (0.0000, 0.0000, 0.4216) (multiplicity 6)
Au (0.0656, 0.5328, 0.3647) (multiplicity 18)

Energy of formation ... -0.09 eV/atom
ΔE to the lowest computed polymorph ... 0.000 eV per atom
Total DFT energy (no corrections) ... -2.42 eV/atom


Entry 4:
Below is a geometry-optimized HgRuW2 structure, with properties calculated at the GGA-PBE level.

Unit cell a=3.936 b=3.936 c=4.209 alpha=90.00 beta=90.00 gamma=90.00
Space group P4/mmm (No. 123)
Inequivalent atoms, fractional coordinates:
Hg (0.000, 0.000, 0.000) (multiplicity 1)
Ru (0.500, 0.500, 0.000) (multiplicity 1)
W (0.000, 0.500, 0.500) (multiplicity 2)

Energy of formation ... 0.58 eV/atom
ΔE to the lowest computed polymorph ... 0.165 eV per atom
Total DFT energy (no corrections) ... -8.29 eV/atom